<1>
Crystalline LiTe2As at its relaxed geometry, computed with PBE-GGA.

Cell and atoms, written as POSCAR:
```
LiTe2As
1.0
5.681 0.121 -0.002
0.100 4.543 -0.002
0.001 -0.003 8.647
Li Te As
2 4 2
Direct
0.200 0.786 0.725 Li
0.701 0.287 0.490 Li
0.691 0.684 0.228 Te
0.703 0.666 0.749 Te
0.203 0.166 0.468 Te
0.191 0.183 0.988 Te
0.210 0.797 0.231 As
0.710 0.297 0.985 As
```



<2>
Crystalline LiTe2As at its relaxed geometry, computed with PBE-GGA.

Cell and atoms, written as POSCAR:
```
LiTe2As
1.0
4.125 0.000 0.000
2.062 3.572 0.000
2.062 1.191 7.280
Li Te As
1 2 1
Direct
0.499 0.499 0.502 Li
0.077 0.077 0.768 Te
0.257 0.257 0.230 Te
0.667 0.667 0.000 As
```



<3>
Crystalline LiTe2As at its relaxed geometry, computed with PBE-GGA.

Cell and atoms, written as POSCAR:
```
LiTe2As
1.0
6.941 1.690 -0.283
3.558 6.195 0.283
-4.845 -4.481 2.750
As Li Te
1 1 2
Direct
0.250 0.750 0.500 As
0.750 0.250 0.500 Li
0.087 0.087 0.000 Te
0.413 0.413 0.000 Te
```

Values from the calculation:
* D(E_F): 2.80 states/eV/f.u.



<4>
Crystalline LiTe2As at its relaxed geometry, computed with PBE-GGA.

Cell and atoms, written as POSCAR:
```
LiTe2As
1.0
8.392 0.074 0.200
-4.576 4.351 -0.122
-0.761 1.035 2.808
As Li Te
1 1 2
Direct
0.000 0.500 0.500 As
0.500 0.500 0.000 Li
0.000 0.000 0.000 Te
0.500 0.000 0.500 Te
```

Values from the calculation:
* D(E_F): 0.92 states/eV/f.u.



Most stable structure - <1>; separation to the second - 42 meV/atom.



<1>
Crystalline LiTe2As at its relaxed geometry, computed with PBE-GGA.

Cell and atoms, written as POSCAR:
```
LiTe2As
1.0
5.931 0.000 0.000
0.000 5.949 -0.283
0.000 0.318 12.177
Li Te As
4 8 4
Direct
0.245 0.001 0.378 Li
0.755 0.999 0.622 Li
0.245 0.499 0.122 Li
0.755 0.501 0.878 Li
0.770 0.008 0.881 Te
0.230 0.992 0.119 Te
0.770 0.492 0.619 Te
0.230 0.508 0.381 Te
0.741 0.485 0.134 Te
0.259 0.515 0.866 Te
0.741 0.015 0.366 Te
0.259 0.985 0.634 Te
0.218 0.539 0.622 As
0.782 0.461 0.378 As
0.218 0.961 0.878 As
0.782 0.039 0.122 As
```



<2>
Crystalline LiTe2As at its relaxed geometry, computed with PBE-GGA.

Cell and atoms, written as POSCAR:
```
LiTe2As
1.0
5.606 0.000 0.000
0.000 3.148 0.123
0.000 1.665 5.942
As Li Te
1 1 2
Direct
0.000 0.364 0.420 As
0.500 0.653 0.846 Li
0.000 0.121 0.882 Te
0.500 0.362 0.352 Te
```

Values from the calculation:
* D(E_F): 0.46 states/eV/f.u.



Most stable structure - <1>; separation to the second - 94 meV/atom.